Here is a relaxed structure of PrY2Ga from Alexandria via LeMat-Bulk. Energies are from PBE.

Lattice parameters (Å, degrees): 5.0336 5.0336 6.0966 65.62 65.62 60.00
Fractional positions:
Pr 0.5000 0.5000 0.5000
Ga 0.0000 0.0000 0.0000
Y 0.2737 0.2737 0.1790
Y 0.7263 0.7263 0.8210

Values from the calculation:
Formation energy in eV/atom: -0.03
VASP energy in eV/cell: -20.87
SG: R-3m (166)
E above lowest polymorph in meV per atom: 265